1.
# Li5Cd4Ag2 (PBE, optimized geometry)
data_Li5Cd4Ag2
_chemical_formula_sum 'Li10 Cd8 Ag4'
_symmetry_space_group_name_H-M 'I m m m'
_symmetry_Int_Tables_number 71
_symmetry_space_group_name_Hall '-I 2 2'
_cell_length_a 2.871
_cell_length_b 7.087
_cell_length_c 24.311
_cell_angle_alpha 90.00
_cell_angle_beta 90.00
_cell_angle_gamma 90.00
loop_
_atom_site_label
_atom_site_fract_x
_atom_site_fract_y
_atom_site_fract_z
Li1 0.000 0.000 0.000
Li2 0.000 0.259 0.388
Cd1 0.000 0.191 0.500
Cd2 0.000 0.500 0.191
Ag1 0.000 0.500 0.307
# ΔE_f: 0.0705 eV/atom
# electronic total energy: -1.651 eV per atom
# energy above the most stable polymorph in this dataset: 234 meV/atom

---

2.
# Li2CdAg2 (PBE, optimized geometry)
data_Li2CdAg2
_chemical_formula_sum 'Li4 Cd2 Ag4'
_symmetry_space_group_name_H-M 'P 4/m b m'
_symmetry_Int_Tables_number 127
_symmetry_space_group_name_Hall '-P 4 2ab'
_cell_length_a 7.596
_cell_length_b 7.596
_cell_length_c 3.082
_cell_angle_alpha 90.00
_cell_angle_beta 90.00
_cell_angle_gamma 90.00
loop_
_atom_site_label
_atom_site_fract_x
_atom_site_fract_y
_atom_site_fract_z
Li1 0.163 0.337 0.000
Cd1 0.000 0.000 0.500
Ag1 0.134 0.634 0.500
# ΔE_f: -0.1713 eV/atom
# electronic total energy: -2.260 eV per atom
# energy above the most stable polymorph in this dataset: 25 meV/atom

---

3.
# LiCd2Ag3 (PBE, optimized geometry)
data_LiCd2Ag3
_chemical_formula_sum 'Li4 Cd8 Ag12'
_symmetry_space_group_name_H-M 'C m m m'
_symmetry_Int_Tables_number 65
_symmetry_space_group_name_Hall '-C 2 2'
_cell_length_a 4.589
_cell_length_b 13.796
_cell_length_c 6.942
_cell_angle_alpha 90.00
_cell_angle_beta 90.00
_cell_angle_gamma 90.00
loop_
_atom_site_label
_atom_site_fract_x
_atom_site_fract_y
_atom_site_fract_z
Li1 0.000 0.160 0.000
Cd1 0.000 0.168 0.500
Cd2 0.000 0.500 0.000
Cd3 0.000 0.500 0.500
Ag1 0.000 0.000 0.244
Ag2 0.000 0.326 0.225
# ΔE_f: -0.1241 eV/atom
# electronic total energy: -2.174 eV per atom
# energy above the most stable polymorph in this dataset: 0 meV/atom

---

4.
# Li2Cd9Ag (PBE, optimized geometry)
data_Li2Cd9Ag
_chemical_formula_sum 'Li2 Cd9 Ag1'
_symmetry_space_group_name_H-M 'P -1'
_symmetry_Int_Tables_number 2
_cell_length_a 5.283
_cell_length_b 6.824
_cell_length_c 7.767
_cell_angle_alpha 68.03
_cell_angle_beta 88.91
_cell_angle_gamma 74.68
loop_
_symmetry_equiv_pos_as_xyz
'x,y,z'
'-x,-y,-z'
loop_
_atom_site_label
_atom_site_fract_x
_atom_site_fract_y
_atom_site_fract_z
Li1 0.084 0.242 0.086
Cd1 0.157 0.508 0.683
Cd2 0.243 0.760 0.252
Cd3 0.328 0.999 0.838
Cd4 0.415 0.248 0.414
Cd5 0.500 0.500 0.000
Ag1 0.000 0.000 0.500
# ΔE_f: -0.0976 eV/atom
# electronic total energy: -1.341 eV per atom